Record 1
Crystalline BaZnCd2In at its relaxed geometry, computed with GGA-PBE.

The calculated volume is 150.53 Å³ per cell. As for the energy above the most stable polymorph in this dataset: 0.96 eV per formula unit. The calculation puts the energy of formation at -0.09 eV/atom. The value obtained for the size of the total moment is 0.00 μB per formula unit. As for the energy: -1.65 eV/atom. The value obtained for the density of states at the Fermi level is 0.75 states/eV/atom.

It has space group P4/mmm (No. 123), with a = 5.325 Å, b = 5.325 Å, c = 5.309 Å, α = 90.00°, β = 90.00° and γ = 90.00°. The inequivalent atoms are Ba at (0.000, 0.000, 0.000), Zn at (0.500, 0.500, 0.500), Cd at (0.000, 0.500, 0.500) and In at (0.500, 0.500, 0.000).

Record 2
Crystalline Ba2ZnCd4In3 at its relaxed geometry, computed with GGA-PBE.

The calculated volume is 289.96 Å³ per cell. The calculation puts the energy of formation at -0.29 eV/atom. The value obtained for the size of the total moment is 0.00 μB per formula unit. As for the energy: -1.99 eV/atom. The value obtained for the density of states at the Fermi level is 0.57 states/eV/atom.

It has space group P-4m2 (No. 115), with a = 4.858 Å, b = 4.858 Å, c = 12.284 Å, α = 90.00°, β = 90.00° and γ = 90.00°. The inequivalent atoms are Ba at (0.000, 0.500, 0.246), Zn at (0.500, 0.500, 0.000), Cd at (0.000, 0.000, 0.500), Cd at (0.000, 0.500, 0.873), Cd at (0.500, 0.500, 0.500), In at (0.000, 0.000, 0.000) and In at (0.000, 0.500, 0.637).

Record 3
Crystalline Ba2Zn3CdIn4 at its relaxed geometry, computed with GGA-PBE.

The calculated volume is 272.39 Å³ per cell. The calculation puts the energy of formation at -0.30 eV/atom. The value obtained for the size of the total moment is 0.00 μB per formula unit. As for the energy: -2.26 eV/atom. The value obtained for the density of states at the Fermi level is 0.48 states/eV/atom.

It has space group P-4m2 (No. 115), with a = 4.823 Å, b = 4.823 Å, c = 11.711 Å, α = 90.00°, β = 90.00° and γ = 90.00°. The inequivalent atoms are Ba at (0.000, 0.500, 0.250), Zn at (0.000, 0.000, 0.000), Zn at (0.000, 0.500, 0.632), Cd at (0.500, 0.500, 0.000), In at (0.000, 0.000, 0.500), In at (0.000, 0.500, 0.865) and In at (0.500, 0.500, 0.500).

Please write out number 2 again, unchanged.
Crystalline Ba2ZnCd4In3 at its relaxed geometry, computed with GGA-PBE.

The calculated volume is 289.96 Å³ per cell. The calculation puts the energy of formation at -0.29 eV/atom. The value obtained for the size of the total moment is 0.00 μB per formula unit. As for the energy: -1.99 eV/atom. The value obtained for the density of states at the Fermi level is 0.57 states/eV/atom.

It has space group P-4m2 (No. 115), with a = 4.858 Å, b = 4.858 Å, c = 12.284 Å, α = 90.00°, β = 90.00° and γ = 90.00°. The inequivalent atoms are Ba at (0.000, 0.500, 0.246), Zn at (0.500, 0.500, 0.000), Cd at (0.000, 0.000, 0.500), Cd at (0.000, 0.500, 0.873), Cd at (0.500, 0.500, 0.500), In at (0.000, 0.000, 0.000) and In at (0.000, 0.500, 0.637).